A plane-wave DFT calculation with PBE-GGA was carried out for a geometry-optimized Dy3Er2Ag3 structure.

Structure (CIF):
```
data_Dy3Er2Ag3
_cell_length_a 3.644
_cell_length_b 5.247
_cell_length_c 21.477
_cell_angle_alpha 90.00
_cell_angle_beta 90.00
_cell_angle_gamma 90.00
_space_group_name_H-M_alt 'I m m m'
_space_group_IT_number 71
_space_group_name_Hall '-I 2 2'
loop_
_atom_site_label
_atom_site_type_symbol
_atom_site_fract_x
_atom_site_fract_y
_atom_site_fract_z
_atom_site_occupancy
Dy1 Dy 0.000 0.000 0.000 1
Dy2 Dy 0.000 0.500 0.121 1
Er1 Er 0.000 0.000 0.232 1
Ag1 Ag 0.000 0.000 0.500 1
Ag2 Ag 0.000 0.500 0.382 1
```

Output
Magnetic moment ... 0.00 μB per formula unit
E_tot ... -4.16 eV per atom
E_form ... -5.2 kcal/mol of atoms
Density of states at the Fermi level ... 6.6 states/eV/f.u.